No. 1
DFT (PBEsol) results for crystalline Be2AlBiIr at its relaxed geometry.

a b c (Å): 4.4398 4.4398 5.2489
angles (deg): 90.00 90.00 90.00
Atoms (fractional coordinates):
Be (0.5000, 0.0000, 0.0000)
Be (0.0000, 0.5000, 0.0000)
Bi (0.0000, 0.0000, 0.0000)
Ir (0.0000, 0.0000, 0.5000)
Al (0.5000, 0.5000, 0.5000)

VASP energy ... -18.4 eV/cell
Space-group type ... P4/mmm, No. 123
Density ... 7161 kg/m³
V ... 20.693 Å³ per atom
Formation energy ... 1.56 eV per atom
Crystal system ... tetragonal

=====

No. 2
DFT (PBEsol) results for crystalline ZnAu3 at its relaxed geometry.

a b c (Å): 2.9019 2.9019 7.6442
angles (deg): 90.00 90.00 90.00
Atoms (fractional coordinates):
Zn (0.5000, 0.5000, 0.0000)
Au (0.0000, 0.0000, 0.2295)
Au (0.5000, 0.5000, 0.5000)
Au (0.0000, 0.0000, 0.7705)

VASP energy ... -13.9 eV/cell
Space-group type ... P4/mmm, No. 123
Density ... 16930 kg/m³
V ... 16.093 Å³ per atom
Formation energy ... -0.12 eV per atom
Crystal system ... tetragonal

=====

No. 3
DFT (PBEsol) results for crystalline UPt5 at its relaxed geometry.

a b c (Å): 5.2144 5.2144 5.2144
angles (deg): 60.00 60.00 60.00
Each line ends with the local moment (μB).
Atoms (fractional coordinates):
U (0.0000, 0.0000, 0.0000)  0.69
Pt (0.8741, 0.3753, 0.3753)  -0.05
Pt (0.7500, 0.7500, 0.7500)  -0.04
Pt (0.3753, 0.3753, 0.3753)  -0.05
Pt (0.3753, 0.8741, 0.3753)  -0.05
Pt (0.3753, 0.3753, 0.8741)  -0.05

VASP energy ... -50.1 eV/cell
Space-group type ... F-43m, No. 216
Density ... 20099 kg/m³
V ... 16.708 Å³ per atom
Formation energy ... -0.52 eV per atom
Crystal system ... cubic

=====

No. 4
DFT (PBEsol) results for crystalline TeMoS at its relaxed geometry.

a b c (Å): 3.3041 3.3041 26.4898
angles (deg): 90.00 90.00 120.00
Atoms (fractional coordinates):
Mo (0.6667, 0.3333, 0.3844)
Mo (0.3333, 0.6667, 0.1352)
Mo (0.6667, 0.3333, 0.8648)
Mo (0.3333, 0.6667, 0.6156)
Te (0.6667, 0.3333, 0.0640)
Te (0.3333, 0.6667, 0.9360)
Te (0.6667, 0.3333, 0.2064)
Te (0.3333, 0.6667, 0.7936)
S (0.6667, 0.3333, 0.6724)
S (0.3333, 0.6667, 0.4411)
S (0.3333, 0.6667, 0.3276)
S (0.6667, 0.3333, 0.5589)

VASP energy ... -85.3 eV/cell
Space-group type ... P-3m1, No. 164
Density ... 6779 kg/m³
Raw formation energy ... -0.550 eV/atom
V ... 20.870 Å³ per atom
Crystal system ... trigonal

=====

No. 5
DFT (PBEsol) results for crystalline LiHg3Cl at its relaxed geometry.

a b c (Å): 5.0476 5.0476 5.0476
angles (deg): 90.00 90.00 90.00
Atoms (fractional coordinates):
Hg (0.0000, 0.0000, 0.5000)
Hg (0.0000, 0.5000, 0.0000)
Hg (0.5000, 0.0000, 0.0000)
Cl (0.5000, 0.5000, 0.5000)
Li (0.0000, 0.0000, 0.0000)

VASP energy ... -6.5 eV/cell
Space-group type ... Pm-3m, No. 221
Density ... 8318 kg/m³
Raw formation energy ... -0.155 eV/atom
V ... 25.720 Å³ per atom
Crystal system ... cubic

=====

No. 6
DFT (PBEsol) results for crystalline MgMnAs at its relaxed geometry.

a b c (Å): 3.5869 4.0485 4.0485
angles (deg): 120.00 90.00 90.00
Each line ends with the local moment (μB).
Atoms (fractional coordinates):
As (0.5000, 0.0000, 0.0000)  -0.08
Mg (0.0000, 0.6667, 0.3333)  -0.03
Mn (0.5000, 0.3333, 0.6667)  2.61

VASP energy ... -16.6 eV/cell
Space-group type ... P-6m2, No. 187
Density ... 5028 kg/m³
V ... 16.971 Å³ per atom
Formation energy ... -0.01 eV per atom
Crystal system ... hexagonal